Record 1
Ba2LaSi | PBE | optimized geometry

For the density of states at the Fermi level, the calculation gives 5.2 states/eV/cell. The calculation puts the uncorrected formation energy at 63.0 meV per atom. The theoretical density is 4.5 g/cm³.

It has space group P4/mmm (No. 123), with a = 3.916 Å, b = 3.916 Å, c = 10.609 Å, α = 90.00°, β = 90.00° and γ = 90.00°. The inequivalent atoms are Ba at (0.000, 0.000, 0.181), La at (0.500, 0.500, 0.500) and Si at (0.500, 0.500, 0.000).

***

Record 2
CdTe2PH | PBE | optimized geometry

For the density of states at the Fermi level, the calculation gives 1.4 states/eV/cell. The total energy is -3.018 eV per atom. The theoretical density is 6.2 g/cm³.

It has space group P4/mmm (No. 123), with a = 5.538 Å, b = 5.538 Å, c = 3.501 Å, α = 90.00°, β = 90.00° and γ = 90.00°. The inequivalent atoms are Cd at (0.000, 0.000, 0.000), Te at (0.000, 0.500, 0.500), P at (0.500, 0.500, 0.500) and H at (0.500, 0.500, 0.000).

***

Record 3
TmThTeC | PBE | optimized geometry

For the density of states at the Fermi level, the calculation gives 6.1 states/eV/cell. The calculation puts the uncorrected formation energy at -817.8 meV per atom. The theoretical density is 9.7 g/cm³.

It has space group R3m (No. 160, hexagonal axes), with a = 3.8339 Å, b = 3.8339 Å, c = 21.7383 Å, α = 90.00°, β = 90.00° and γ = 120.00°. The inequivalent atoms are Tm at (0.0000, 0.0000, 0.0000), Th at (0.0000, 0.0000, 0.2086), Te at (0.0000, 0.0000, 0.4323) and C at (0.0000, 0.0000, 0.6067).

***

Record 4
Nd2DyTe | PBE | optimized geometry

For the density of states at the Fermi level, the calculation gives 5.3 states/eV/cell. The calculation puts the uncorrected formation energy at -574.7 meV per atom. The theoretical density is 7.6 g/cm³.

It has space group P4/mmm (No. 123), with a = 3.982 Å, b = 3.982 Å, c = 7.981 Å, α = 90.00°, β = 90.00° and γ = 90.00°. The inequivalent atoms are Nd at (0.000, 0.000, 0.225), Dy at (0.500, 0.500, 0.500) and Te at (0.500, 0.500, 0.000).